1.
A plane-wave DFT calculation with PBEsol was carried out for a geometry-optimized RbTeN2F structure. Values from VASP.

Geometry as Quantum ESPRESSO input:
```
&SYSTEM
  ibrav = 0, nat = 5, ntyp = 4
/
ATOMIC_SPECIES
Rb 85.47 Rb.upf
Te 127.60 Te.upf
N 14.01 N.upf
F 19.00 F.upf
CELL_PARAMETERS angstrom
4.035 0.000 0.000
0.000 4.035 0.000
0.000 0.000 4.816
ATOMIC_POSITIONS crystal
Rb 0.500 0.500 0.500
Te 0.000 0.000 0.000
N 0.000 0.500 0.000
N 0.500 0.000 0.000
F 0.000 0.000 0.500
```

Values from the calculation:
* total magnetic moment: 0.00 μB/atom
* symmetry: P4/mmm, No. 123
* energy above the lowest structure with this stoichiometry: 0.0 meV per atom
* formation energy without anion corrections: -0.02 eV per atom



2.
A plane-wave DFT calculation with PBEsol was carried out for a geometry-optimized RbTe2NF structure. Values from VASP.

Geometry as Quantum ESPRESSO input:
```
&SYSTEM
  ibrav = 0, nat = 5, ntyp = 4
/
ATOMIC_SPECIES
F 19.00 F.upf
Te 127.60 Te.upf
N 14.01 N.upf
Rb 85.47 Rb.upf
CELL_PARAMETERS angstrom
-2.756 -1.365 -4.588
5.822 0.549 -3.661
1.361 -6.663 1.165
ATOMIC_POSITIONS crystal
F 0.500 0.500 0.500
Te 0.000 0.000 0.500
Te 0.000 0.500 0.000
N 0.500 0.000 0.000
Rb 0.000 0.000 0.000
```

Values from the calculation:
* total magnetic moment: 1.40 μB/atom
* symmetry: P4/mmm, No. 123
* formation energy without anion corrections: 1.50 eV per atom



3.
A plane-wave DFT calculation with PBEsol was carried out for a geometry-optimized RbZrNF2 structure. Values from VASP.

Geometry as Quantum ESPRESSO input:
```
&SYSTEM
  ibrav = 0, nat = 5, ntyp = 4
/
ATOMIC_SPECIES
N 14.01 N.upf
F 19.00 F.upf
Rb 85.47 Rb.upf
Zr 91.22 Zr.upf
CELL_PARAMETERS angstrom
4.521 0.000 0.000
0.000 4.521 0.000
0.000 0.000 4.521
ATOMIC_POSITIONS crystal
N 0.000 0.000 0.500
F 0.000 0.500 0.000
F 0.500 0.000 0.000
Rb 0.000 0.000 0.000
Zr 0.500 0.500 0.500
```

Values from the calculation:
* total magnetic moment: 0.23 μB/atom
* symmetry: P4/mmm, No. 123
* formation energy without anion corrections: 0.18 eV per atom



4.
A plane-wave DFT calculation with PBEsol was carried out for a geometry-optimized Re2RhNF structure. Values from VASP.

Geometry as Quantum ESPRESSO input:
```
&SYSTEM
  ibrav = 0, nat = 5, ntyp = 4
/
ATOMIC_SPECIES
Rh 102.91 Rh.upf
N 14.01 N.upf
Re 186.21 Re.upf
F 19.00 F.upf
CELL_PARAMETERS angstrom
3.567 0.000 0.000
0.000 5.017 0.000
0.000 0.000 5.017
ATOMIC_POSITIONS crystal
Rh 0.000 0.000 0.000
N 0.500 0.000 0.000
Re 0.000 0.500 0.000
Re 0.000 0.000 0.500
F 0.500 0.500 0.500
```

Values from the calculation:
* total magnetic moment: 1.47 μB/atom
* symmetry: P4/mmm, No. 123
* formation energy without anion corrections: 2.16 eV per atom



5.
A plane-wave DFT calculation with PBEsol was carried out for a geometry-optimized ReRuNF2 structure. Values from VASP.

Geometry as Quantum ESPRESSO input:
```
&SYSTEM
  ibrav = 0, nat = 5, ntyp = 4
/
ATOMIC_SPECIES
Ru 101.07 Ru.upf
F 19.00 F.upf
Re 186.21 Re.upf
N 14.01 N.upf
CELL_PARAMETERS angstrom
-3.181 -2.063 -0.503
1.490 -1.439 -3.519
1.709 -3.123 2.001
ATOMIC_POSITIONS crystal
Ru 0.500 0.500 0.500
F 0.000 0.500 0.000
F 0.000 0.000 0.500
Re 0.000 0.000 0.000
N 0.500 0.000 0.000
```

Values from the calculation:
* total magnetic moment: 0.60 μB/atom
* symmetry: P4/mmm, No. 123
* formation energy without anion corrections: 0.38 eV per atom



6.
A plane-wave DFT calculation with PBEsol was carried out for a geometry-optimized SrReNF2 structure. Values from VASP.

Geometry as Quantum ESPRESSO input:
```
&SYSTEM
  ibrav = 0, nat = 5, ntyp = 4
/
ATOMIC_SPECIES
F 19.00 F.upf
Re 186.21 Re.upf
Sr 87.62 Sr.upf
N 14.01 N.upf
CELL_PARAMETERS angstrom
4.375 0.000 0.000
0.000 4.375 0.000
0.000 0.000 5.096
ATOMIC_POSITIONS crystal
F 0.500 0.000 0.000
F 0.000 0.500 0.000
Re 0.500 0.500 0.500
Sr 0.000 0.000 0.000
N 0.000 0.000 0.500
```

Values from the calculation:
* total magnetic moment: 0.80 μB/atom
* symmetry: P4/mmm, No. 123
* formation energy without anion corrections: 0.15 eV per atom



7.
A plane-wave DFT calculation with PBEsol was carried out for a geometry-optimized TiReN2F structure. Values from VASP.

Geometry as Quantum ESPRESSO input:
```
&SYSTEM
  ibrav = 0, nat = 5, ntyp = 4
/
ATOMIC_SPECIES
N 14.01 N.upf
Re 186.21 Re.upf
Ti 47.87 Ti.upf
F 19.00 F.upf
CELL_PARAMETERS angstrom
-2.836 -0.765 2.169
-0.780 -3.233 -2.161
2.373 -2.142 2.348
ATOMIC_POSITIONS crystal
N 0.000 0.500 0.000
N 0.000 0.000 0.500
Re 0.500 0.500 0.500
Ti 0.000 0.000 0.000
F 0.500 0.000 0.000
```

Values from the calculation:
* total magnetic moment: 0.69 μB/atom
* symmetry: P4/mmm, No. 123
* formation energy without anion corrections: 0.16 eV per atom



8.
A plane-wave DFT calculation with PBEsol was carried out for a geometry-optimized TlReNF2 structure. Values from VASP.

Geometry as Quantum ESPRESSO input:
```
&SYSTEM
  ibrav = 0, nat = 5, ntyp = 4
/
ATOMIC_SPECIES
N 14.01 N.upf
F 19.00 F.upf
Re 186.21 Re.upf
Tl 204.38 Tl.upf
CELL_PARAMETERS angstrom
4.310 0.000 0.000
0.000 4.350 0.000
0.000 0.000 4.350
ATOMIC_POSITIONS crystal
N 0.500 0.000 0.000
F 0.000 0.500 0.000
F 0.000 0.000 0.500
Re 0.500 0.500 0.500
Tl 0.000 0.000 0.000
```

Values from the calculation:
* total magnetic moment: 0.97 μB/atom
* symmetry: P4/mmm, No. 123
* formation energy without anion corrections: 0.90 eV per atom



9.
A plane-wave DFT calculation with PBEsol was carried out for a geometry-optimized ReWNF2 structure. Values from VASP.

Geometry as Quantum ESPRESSO input:
```
&SYSTEM
  ibrav = 0, nat = 5, ntyp = 4
/
ATOMIC_SPECIES
F 19.00 F.upf
N 14.01 N.upf
Re 186.21 Re.upf
W 183.84 W.upf
CELL_PARAMETERS angstrom
-2.868 2.558 -0.083
-0.215 -0.375 -4.137
-2.761 -3.082 0.423
ATOMIC_POSITIONS crystal
F 0.000 0.000 0.500
F 0.000 0.500 0.000
N 0.500 0.000 0.000
Re 0.000 0.000 0.000
W 0.500 0.500 0.500
```

Values from the calculation:
* total magnetic moment: 0.80 μB/atom
* symmetry: P4/mmm, No. 123
* formation energy without anion corrections: 0.75 eV per atom



10.
A plane-wave DFT calculation with PBEsol was carried out for a geometry-optimized RhN2F2 structure. Values from VASP.

Geometry as Quantum ESPRESSO input:
```
&SYSTEM
  ibrav = 0, nat = 5, ntyp = 3
/
ATOMIC_SPECIES
N 14.01 N.upf
F 19.00 F.upf
Rh 102.91 Rh.upf
CELL_PARAMETERS angstrom
-3.501 0.733 -1.025
-1.131 -3.164 1.599
-0.592 1.933 3.405
ATOMIC_POSITIONS crystal
N 0.500 0.000 0.000
N 0.000 0.500 0.000
F 0.500 0.500 0.500
F 0.000 0.000 0.500
Rh 0.000 0.000 0.000
```

Values from the calculation:
* total magnetic moment: 0.32 μB/atom
* symmetry: P4/mmm, No. 123
* formation energy without anion corrections: 0.59 eV per atom



11.
A plane-wave DFT calculation with PBEsol was carried out for a geometry-optimized RhNF2 structure. Values from VASP.

Geometry as Quantum ESPRESSO input:
```
&SYSTEM
  ibrav = 0, nat = 8, ntyp = 3
/
ATOMIC_SPECIES
N 14.01 N.upf
F 19.00 F.upf
Rh 102.91 Rh.upf
CELL_PARAMETERS angstrom
3.571 0.000 0.000
1.786 5.666 0.000
1.786 0.000 5.666
ATOMIC_POSITIONS crystal
N 0.250 0.500 0.500
N 0.500 0.000 0.000
F 0.929 0.696 0.196
F 0.821 0.304 0.804
F 0.375 0.804 0.696
F 0.875 0.196 0.304
Rh 0.000 0.000 0.000
Rh 0.750 0.500 0.500
```

Values from the calculation:
* total magnetic moment: 0.00 μB/atom
* symmetry: I-42d, No. 122
* formation energy without anion corrections: -0.34 eV per atom



12.
A plane-wave DFT calculation with PBEsol was carried out for a geometry-optimized RhS2NF structure. Values from VASP.

Geometry as Quantum ESPRESSO input:
```
&SYSTEM
  ibrav = 0, nat = 5, ntyp = 4
/
ATOMIC_SPECIES
F 19.00 F.upf
S 32.06 S.upf
Rh 102.91 Rh.upf
N 14.01 N.upf
CELL_PARAMETERS angstrom
3.533 0.000 0.000
0.000 4.313 0.000
0.000 0.000 4.313
ATOMIC_POSITIONS crystal
F 0.000 0.000 0.000
S 0.000 0.000 0.500
S 0.000 0.500 0.000
Rh 0.500 0.500 0.500
N 0.500 0.000 0.000
```

Values from the calculation:
* total magnetic moment: 0.32 μB/atom
* symmetry: P4/mmm, No. 123
* formation energy without anion corrections: 1.58 eV per atom



13.
A plane-wave DFT calculation with PBEsol was carried out for a geometry-optimized RhSe2NF structure. Values from VASP.

Geometry as Quantum ESPRESSO input:
```
&SYSTEM
  ibrav = 0, nat = 5, ntyp = 4
/
ATOMIC_SPECIES
F 19.00 F.upf
N 14.01 N.upf
Se 78.96 Se.upf
Rh 102.91 Rh.upf
CELL_PARAMETERS angstrom
-1.518 -1.693 2.873
0.453 -3.927 -2.075
4.039 -0.505 1.836
ATOMIC_POSITIONS crystal
F 0.000 0.000 0.000
N 0.500 0.000 0.000
Se 0.000 0.000 0.500
Se 0.000 0.500 0.000
Rh 0.500 0.500 0.500
```

Values from the calculation:
* total magnetic moment: 0.33 μB/atom
* symmetry: P4/mmm, No. 123
* formation energy without anion corrections: 1.34 eV per atom



14.
A plane-wave DFT calculation with PBEsol was carried out for a geometry-optimized SnRhN2F structure. Values from VASP.

Geometry as Quantum ESPRESSO input:
```
&SYSTEM
  ibrav = 0, nat = 5, ntyp = 4
/
ATOMIC_SPECIES
Rh 102.91 Rh.upf
F 19.00 F.upf
N 14.01 N.upf
Sn 118.71 Sn.upf
CELL_PARAMETERS angstrom
-2.321 1.701 -2.546
-2.888 -2.276 1.112
-1.151 2.927 3.004
ATOMIC_POSITIONS crystal
Rh 0.000 0.000 0.000
F 0.000 0.000 0.500
N 0.000 0.500 0.000
N 0.500 0.000 0.000
Sn 0.500 0.500 0.500
```

Values from the calculation:
* total magnetic moment: 0.00 μB/atom
* symmetry: P4/mmm, No. 123
* energy above the lowest structure with this stoichiometry: 0.0 meV per atom
* formation energy without anion corrections: 0.26 eV per atom



Number 1: calculated total energy -0.34764 Ry per atom. Number 2: calculated total energy -0.16215 Ry per atom. Number 3: calculated total energy -0.31738 Ry per atom. Number 4: calculated total energy -0.50638 Ry per atom. Number 5: calculated total energy -0.49994 Ry per atom. Number 6: calculated total energy -0.39433 Ry per atom. Number 7: calculated total energy -0.58566 Ry per atom. Number 8: calculated total energy -0.35055 Ry per atom. Number 9: calculated total energy -0.52613 Ry per atom. Number 10: calculated total energy -0.38394 Ry per atom. Number 11: calculated total energy -0.40183 Ry per atom. Number 12: calculated total energy -0.28639 Ry per atom. Number 13: calculated total energy -0.28824 Ry per atom. Number 14: calculated total energy -0.44211 Ry per atom.